Record 1
The following is a DFT calculation (PBE) of a relaxed Np2FeB10 crystal.

Properties
Total DFT energy (no corrections) ... -8.1388 eV/atom
Volume ... 9.7 A^3/atom
Space-group type ... Pbam
Total magnetic moment ... 13.82 μB per cell

Cell lengths 4.118, 5.538, 11.037 Å; angles 90.00, 90.00, 90.00 degrees
Positions (direct):
1 Np 0.500 0.301 0.865
2 Np 0.500 0.699 0.135
3 Np 0.500 0.801 0.635
4 Np 0.500 0.199 0.365
5 Fe 0.000 0.500 0.500
6 Fe 0.000 0.000 0.000
7 B 0.000 0.128 0.538
8 B 0.000 0.872 0.462
9 B 0.000 0.628 0.962
10 B 0.000 0.372 0.038
11 B 0.000 0.153 0.697
12 B 0.000 0.847 0.303
13 B 0.301 0.202 0.113
14 B 0.301 0.798 0.887
15 B 0.699 0.702 0.387
16 B 0.699 0.298 0.613
17 B 0.699 0.798 0.887
18 B 0.699 0.202 0.113
19 B 0.301 0.298 0.613
20 B 0.301 0.702 0.387
21 B 0.000 0.032 0.186
22 B 0.000 0.968 0.814
23 B 0.000 0.532 0.314
24 B 0.000 0.468 0.686
25 B 0.000 0.347 0.197
26 B 0.000 0.653 0.803

Record 2
The following is a DFT calculation (PBE) of a relaxed NpFe2B2 crystal.

Properties
Total DFT energy (no corrections) ... -8.8315 eV/atom
Volume ... 11.0 A^3/atom
Space-group type ... C2/m
Total magnetic moment ... 3.12 μB per cell

Cell lengths 2.976, 4.015, 5.013 Å; angles 104.36, 107.27, 90.00 degrees
Positions (direct):
1 Np 0.000 0.000 0.000
2 Fe 0.344 0.427 0.688
3 Fe 0.656 0.573 0.312
4 B 0.736 0.118 0.471
5 B 0.264 0.882 0.529

Record 3
The following is a DFT calculation (PBE) of a relaxed Np2Fe3B12Os crystal.

Properties
Total DFT energy (no corrections) ... -7.7936 eV/atom
Volume ... 10.7 A^3/atom
Space-group type ... R-3m
Total magnetic moment ... 11.54 μB per cell

Cell lengths 8.117, 8.117, 8.117 Å; angles 39.26, 39.26, 39.26 degrees
Positions (direct):
1 Np 0.640 0.640 0.640
2 Np 0.360 0.360 0.360
3 Fe 0.500 0.000 0.000
4 Fe 0.000 0.500 0.000
5 Fe 0.000 0.000 0.500
6 B 0.346 0.346 0.020
7 B 0.941 0.941 0.340
8 B 0.340 0.941 0.941
9 B 0.020 0.346 0.346
10 B 0.941 0.340 0.941
11 B 0.346 0.020 0.346
12 B 0.654 0.654 0.980
13 B 0.059 0.059 0.660
14 B 0.660 0.059 0.059
15 B 0.980 0.654 0.654
16 B 0.059 0.660 0.059
17 B 0.654 0.980 0.654
18 Os 0.000 0.000 0.000

Record 4
The following is a DFT calculation (PBE) of a relaxed Np2Fe3ReB12 crystal.

Properties
Total DFT energy (no corrections) ... -7.8217 eV/atom
Volume ... 10.7 A^3/atom
Space-group type ... R-3m
Total magnetic moment ... 11.25 μB per cell

Cell lengths 8.237, 8.237, 8.237 Å; angles 38.23, 38.23, 38.23 degrees
Positions (direct):
1 Np 0.642 0.642 0.642
2 Np 0.358 0.358 0.358
3 Fe 0.500 0.000 0.000
4 Fe 0.000 0.500 0.000
5 Fe 0.000 0.000 0.500
6 Re 0.000 0.000 0.000
7 B 0.345 0.345 0.020
8 B 0.949 0.949 0.331
9 B 0.331 0.949 0.949
10 B 0.020 0.345 0.345
11 B 0.949 0.331 0.949
12 B 0.345 0.020 0.345
13 B 0.655 0.655 0.980
14 B 0.051 0.051 0.669
15 B 0.669 0.051 0.051
16 B 0.980 0.655 0.655
17 B 0.051 0.669 0.051
18 B 0.655 0.980 0.655

The evaluated energy relative to the elements for the records listed, in turn: -0.3605; -0.1873; 0.1302; 0.1698 eV per atom.